Below is a geometry-optimized VFe2BiF structure, with properties calculated at the PBE with a Hubbard U level.

Lattice parameters (Å, degrees): 5.3036 4.4883 5.3036 90.00 90.00 90.00
Fractional positions:
V (0.5000, 0.5000, 0.5000)
Bi (0.0000, 0.0000, 0.0000)
Fe (0.0000, 0.0000, 0.5000)
Fe (0.5000, 0.0000, 0.0000)
F (0.0000, 0.5000, 0.0000)

Calculated values
E = -3.887 eV/atom